1.
First-principles (PBE) data for a geometry-optimized CsScO2 structure, as listed in the Alexandria database.

a b c (Å): 4.399 6.343 6.444
angles (deg): 60.64 70.04 90.00
Fractional positions:
O 0.005 0.888 0.085
O 0.005 0.388 0.085
O 0.675 0.807 0.746
O 0.335 0.970 0.425
Cs 0.385 0.520 0.324
Cs 0.624 0.257 0.847
Sc 0.133 0.766 0.829
Sc 0.877 0.011 0.341

formation energy from raw total energies	-2.591	eV per atom
uncorrected energy	-6.8665	eV per atom
symmetry	C2/m (12)
size of the total moment	0.00	μB/atom



2.
First-principles (PBE) data for a geometry-optimized CsScO2 structure, as listed in the Alexandria database.

a b c (Å): 14.059 6.242 6.242
angles (deg): 90.98 132.67 47.33
Fractional positions:
O 0.408 0.376 0.222
O 0.101 0.488 0.418
O 0.601 0.082 0.012
O 0.908 0.278 0.124
Sc 0.754 0.806 0.944
Sc 0.254 0.556 0.694
Cs 0.754 0.307 0.443
Cs 0.254 0.057 0.193

formation energy from raw total energies	-2.693	eV per atom
uncorrected energy	-6.9683	eV per atom
symmetry	Cc (9)
size of the total moment	0.00	μB/atom



3.
First-principles (PBE) data for a geometry-optimized CsScO2 structure, as listed in the Alexandria database.

a b c (Å): 3.159 3.854 6.654
angles (deg): 94.56 90.00 90.00
Fractional positions:
O 0.000 0.609 0.813
O 0.000 0.391 0.187
Cs 0.500 0.000 0.500
Sc 0.500 0.500 0.000

formation energy from raw total energies	-2.208	eV per atom
uncorrected energy	-6.4831	eV per atom
symmetry	P2/m (10)
size of the total moment	0.00	μB/atom



4.
First-principles (PBE) data for a geometry-optimized CsScO2 structure, as listed in the Alexandria database.

a b c (Å): 10.892 4.228 3.306
angles (deg): 90.00 90.10 90.00
Fractional positions:
Sc 0.792 0.381 0.886
Sc 0.959 0.881 0.387
O 0.825 0.881 0.887
O 0.086 0.881 0.888
O 0.925 0.381 0.387
O 0.665 0.381 0.386
Cs 0.204 0.381 0.389
Cs 0.547 0.881 0.886

formation energy from raw total energies	-2.588	eV per atom
uncorrected energy	-6.8634	eV per atom
symmetry	P2_1/m (11)
size of the total moment	0.00	μB/atom



5.
First-principles (PBE) data for a geometry-optimized CsScSe2O structure, as listed in the Alexandria database.

a b c (Å): 5.919 3.874 5.919
angles (deg): 90.00 90.00 90.00
Fractional positions:
Se 0.500 0.000 0.000
Se 0.000 0.000 0.500
O 0.000 0.500 0.000
Cs 0.500 0.500 0.500
Sc 0.000 0.000 0.000

formation energy from raw total energies	-1.272	eV per atom
uncorrected energy	-5.0949	eV per atom
symmetry	P4/mmm (123)
size of the total moment	0.00	μB/atom



6.
First-principles (PBE) data for a geometry-optimized CsScSe2O8 structure, as listed in the Alexandria database.

a b c (Å): 5.340 5.340 9.138
angles (deg): 90.00 90.00 120.00
Fractional positions:
Cs 0.000 0.000 0.000
O 0.929 0.655 0.362
O 0.071 0.345 0.638
O 0.333 0.667 0.880
O 0.667 0.333 0.120
O 0.345 0.275 0.362
O 0.725 0.071 0.362
O 0.655 0.725 0.638
O 0.275 0.929 0.638
Sc 0.000 0.000 0.500
Se 0.333 0.667 0.699
Se 0.667 0.333 0.301

formation energy from raw total energies	-1.520	eV per atom
uncorrected energy	-6.0047	eV per atom
symmetry	P-3 (147)
size of the total moment	0.00	μB/atom



7.
First-principles (PBE) data for a geometry-optimized CsScSe2O6 structure, as listed in the Alexandria database.

a b c (Å): 5.693 7.172 18.018
angles (deg): 90.00 90.00 90.00
Fractional positions:
Se 0.750 0.605 0.033
Se 0.750 0.895 0.533
Se 0.250 0.395 0.967
Se 0.750 0.565 0.249
Se 0.750 0.935 0.749
Se 0.250 0.435 0.751
Se 0.250 0.105 0.467
Se 0.250 0.065 0.251
O 0.487 0.247 0.445
O 0.513 0.747 0.055
O 0.750 0.882 0.437
O 0.515 0.505 0.193
O 0.985 0.995 0.693
O 0.485 0.495 0.807
O 0.015 0.005 0.307
O 0.250 0.382 0.063
O 0.250 0.614 0.688
O 0.250 0.886 0.188
O 0.013 0.253 0.945
O 0.515 0.995 0.693
O 0.013 0.247 0.445
O 0.987 0.753 0.555
O 0.750 0.618 0.937
O 0.513 0.753 0.555
O 0.987 0.747 0.055
O 0.985 0.505 0.193
O 0.485 0.005 0.307
O 0.015 0.495 0.807
O 0.750 0.386 0.312
O 0.750 0.114 0.812
O 0.250 0.118 0.563
O 0.487 0.253 0.945
Cs 0.250 0.875 0.899
Cs 0.750 0.375 0.601
Cs 0.750 0.125 0.101
Cs 0.250 0.625 0.399
Sc 0.750 0.364 0.870
Sc 0.250 0.636 0.130
Sc 0.750 0.136 0.370
Sc 0.250 0.864 0.630

formation energy from raw total energies	-1.753	eV per atom
uncorrected energy	-6.1435	eV per atom
symmetry	Pnma (62)
size of the total moment	0.00	μB/atom



8.
First-principles (PBE) data for a geometry-optimized CsScSiO4 structure, as listed in the Alexandria database.

a b c (Å): 5.355 5.714 8.109
angles (deg): 90.00 110.78 90.00
Fractional positions:
Sc 0.799 0.750 0.471
Sc 0.201 0.250 0.529
Si 0.750 0.250 0.638
Si 0.250 0.750 0.362
O 0.519 0.250 0.440
O 0.481 0.750 0.560
O 0.039 0.971 0.346
O 0.427 0.750 0.234
O 0.961 0.029 0.654
O 0.573 0.250 0.766
O 0.961 0.471 0.654
O 0.039 0.529 0.346
Cs 0.310 0.250 0.068
Cs 0.690 0.750 0.932

formation energy from raw total energies	-2.813	eV per atom
uncorrected energy	-7.4478	eV per atom
symmetry	P2_1/m (11)
size of the total moment	0.00	μB/atom